This record from the Alexandria database describes HfZr12Sn6 after structural relaxation. The functional is PBE.

## Properties
For the density of states at the Fermi level, the calculation gives 17.504 states/eV/f.u. For the density, the calculation gives 7.578 g cm⁻³. The calculation puts the formation energy at -276 meV per atom.

POSCAR file:
```
HfZr12Sn6
1.0
5.395 3.115 4.314
-5.395 3.115 4.314
0.000 -6.230 4.314
Hf Zr Sn
1 12 6
Direct
0.000 0.000 0.000
0.056 0.144 0.377
0.144 0.377 0.056
0.197 0.477 0.559
0.377 0.056 0.144
0.441 0.803 0.523
0.477 0.559 0.197
0.523 0.441 0.803
0.559 0.197 0.477
0.623 0.944 0.856
0.803 0.523 0.441
0.856 0.623 0.944
0.944 0.856 0.623
0.124 0.738 0.276
0.262 0.724 0.876
0.276 0.124 0.738
0.724 0.876 0.262
0.738 0.276 0.124
0.876 0.262 0.724
```

---

This record from the Alexandria database describes Hf8Zr2Sn3 after structural relaxation. The functional is PBE.

## Properties
For the density of states at the Fermi level, the calculation gives 15.662 states/eV/f.u. For the density, the calculation gives 10.555 g cm⁻³. The calculation puts the formation energy at 169 meV per atom.

POSCAR file:
```
Hf8Zr2Sn3
1.0
2.898 1.673 10.632
-2.898 1.673 10.632
0.000 -3.347 10.632
Hf Zr Sn
8 2 3
Direct
0.221 0.221 0.730
0.221 0.730 0.221
0.224 0.224 0.224
0.270 0.779 0.779
0.730 0.221 0.221
0.776 0.776 0.776
0.779 0.270 0.779
0.779 0.779 0.270
0.136 0.136 0.136
0.864 0.864 0.864
0.312 0.312 0.312
0.500 0.500 0.500
0.688 0.688 0.688
```

---

This record from the Alexandria database describes Hf3Zr3Sn2 after structural relaxation. The functional is PBE.

## Properties
For the density of states at the Fermi level, the calculation gives 6.985 states/eV/f.u. For the density, the calculation gives 9.863 g cm⁻³. The calculation puts the formation energy at -303 meV per atom.

POSCAR file:
```
Hf3Zr3Sn2
1.0
4.447 0.000 0.000
0.000 4.451 0.000
0.000 0.000 8.901
Hf Zr Sn
3 3 2
Direct
0.000 0.000 0.000
0.000 0.500 0.248
0.000 0.500 0.752
0.000 0.000 0.500
0.500 0.500 0.000
0.500 0.500 0.500
0.500 0.000 0.249
0.500 0.000 0.751
```

---

This record from the Alexandria database describes Hf3ZrSn4 after structural relaxation. The functional is PBE.

## Properties
For the density of states at the Fermi level, the calculation gives 2.522 states/eV/f.u. For the density, the calculation gives 7.459 g cm⁻³. The calculation puts the formation energy at 173 meV per atom.

POSCAR file:
```
Hf3ZrSn4
1.0
5.715 0.000 0.000
0.000 9.963 0.000
0.000 0.000 8.613
Hf Zr Sn
6 2 8
Direct
0.250 0.001 0.167
0.250 0.250 0.668
0.250 0.499 0.167
0.750 0.501 0.833
0.750 0.750 0.332
0.750 0.999 0.833
0.250 0.750 0.665
0.750 0.250 0.335
0.250 0.001 0.834
0.250 0.250 0.335
0.250 0.499 0.834
0.250 0.750 0.330
0.750 0.250 0.670
0.750 0.501 0.166
0.750 0.750 0.665
0.750 0.999 0.166
```

---

This record from the Alexandria database describes Hf2Zr3Sn after structural relaxation. The functional is PBE.

## Properties
For the density of states at the Fermi level, the calculation gives 7.761 states/eV/f.u. For the density, the calculation gives 9.165 g cm⁻³. The polymorph energy (0 for the lowest one) is 0 meV/atom. The calculation puts the formation energy at -97 meV per atom.

POSCAR file:
```
Hf2Zr3Sn
1.0
5.029 0.000 0.000
-2.514 4.355 0.000
0.000 0.000 6.199
Hf Zr Sn
2 3 1
Direct
0.333 0.667 0.136
0.667 0.333 0.864
0.000 0.000 0.000
0.333 0.667 0.656
0.667 0.333 0.344
0.000 0.000 0.500
```

---

This record from the Alexandria database describes Hf3ZrSn after structural relaxation. The functional is PBE.

## Properties
For the density of states at the Fermi level, the calculation gives 7.033 states/eV/f.u. For the density, the calculation gives 9.220 g cm⁻³. The polymorph energy (0 for the lowest one) is 1089 meV/atom. The calculation puts the formation energy at 1106 meV per atom.

POSCAR file:
```
Hf3ZrSn
1.0
5.120 0.000 0.000
0.000 5.120 0.000
0.000 0.000 5.120
Hf Zr Sn
3 1 1
Direct
0.000 0.000 0.500
0.000 0.500 0.000
0.500 0.000 0.000
0.000 0.000 0.000
0.500 0.500 0.500
```